Entry 1:
TbSmB4 | Alexandria via LeMat-Bulk | PBE | relaxed; energy relative to the elements = -0.4535 eV per atom
1.0
-1.658 2.875 3.972
1.658 -2.875 3.972
1.658 2.875 -3.972
Tb Sm B
1 1 4
Direct
0.000 0.000 0.000
0.500 0.500 0.000
0.082 0.749 0.333
0.416 0.749 0.667
0.584 0.251 0.333
0.918 0.251 0.667



Entry 2:
TbSmB12 | Alexandria via LeMat-Bulk | PBE | relaxed; energy relative to the elements = -0.4354 eV per atom
1.0
4.109 0.000 0.000
0.000 4.109 0.000
0.000 0.000 8.221
Tb Sm B
1 1 12
Direct
0.000 0.000 0.000
0.000 0.000 0.500
0.199 0.500 0.249
0.199 0.500 0.751
0.500 0.199 0.249
0.500 0.199 0.751
0.500 0.500 0.099
0.500 0.500 0.400
0.500 0.500 0.600
0.500 0.500 0.901
0.500 0.801 0.249
0.500 0.801 0.751
0.801 0.500 0.249
0.801 0.500 0.751



| no. | density (Mg/m³) |
| --- | --- |
| 1 | 7.7 |
| 2 | 5.3 |